A plane-wave DFT calculation with GGA-PBE was carried out for a relaxed structure of Co2RuAu.

Computed properties:
Energy of formation from the pure elements = 718 meV per atom
Space group = I-42d
Total moment = 6.0 μB/cell
E_tot = -5.9728 eV per atom
Excess energy over the best structure of this formula in the dataset = 466 meV per atom

Lattice parameters (Å, degrees): 6.652 6.652 5.416 52.11 52.11 90.00
Each line ends with the local moment (μB).
Sites, in units of the cell vectors:
Au  0.750  0.250  0.500  0.03
Co  0.594  0.125  0.250  1.14
Co  0.156  0.625  0.250  1.15
Ru  0.250  0.750  0.500  0.60
Ru  0.500  0.500  0.000  0.60
Co  0.375  0.406  0.750  1.20
Au  0.000  0.000  0.000  0.03
Co  0.875  0.844  0.750  1.22


A plane-wave DFT calculation with GGA-PBE was carried out for a relaxed structure of Co2RuAu.

Computed properties:
Energy of formation from the pure elements = 273 meV per atom
Space group = P4mm
Total moment = 3.5 μB/cell
E_tot = -6.4178 eV per atom
Excess energy over the best structure of this formula in the dataset = 21 meV per atom

Lattice parameters (Å, degrees): 2.694 2.694 7.469 90.00 90.00 90.00
Each line ends with the local moment (μB).
Sites, in units of the cell vectors:
Co  0.000  0.000  0.031  1.82
Co  0.500  0.500  0.239  1.49
Ru  0.000  0.000  0.468  0.18
Au  0.500  0.500  0.762  0.03


A plane-wave DFT calculation with GGA-PBE was carried out for a relaxed structure of CoRuAu.

Computed properties:
Energy of formation from the pure elements = 275 meV per atom
Space group = I4mm
Total moment = 1.3 μB/cell
E_tot = -6.2778 eV per atom
Excess energy over the best structure of this formula in the dataset = 0 meV per atom

Lattice parameters (Å, degrees): 6.023 6.023 6.023 153.66 153.66 37.59
Each line ends with the local moment (μB).
Sites, in units of the cell vectors:
Co  0.320  0.320  0.000  1.15
Au  0.995  0.995  0.000  0.02
Ru  0.685  0.685  0.000  0.18


A plane-wave DFT calculation with GGA-PBE was carried out for a relaxed structure of Co2RuAu.

Computed properties:
Energy of formation from the pure elements = 321 meV per atom
Space group = Cmmm
Total moment = 4.1 μB/cell
E_tot = -6.3699 eV per atom
Excess energy over the best structure of this formula in the dataset = 69 meV per atom

Lattice parameters (Å, degrees): 4.573 4.573 2.705 90.00 90.00 106.23
Each line ends with the local moment (μB).
Sites, in units of the cell vectors:
Co  0.000  0.000  0.000  1.68
Au  0.000  0.500  0.500  0.10
Co  0.500  0.500  0.000  1.68
Ru  0.500  0.000  0.500  0.72


A plane-wave DFT calculation with GGA-PBE was carried out for a relaxed structure of Co2RuAu.

Computed properties:
Energy of formation from the pure elements = 286 meV per atom
Space group = R-3m
Total moment = 3.3 μB/cell
E_tot = -6.4048 eV per atom
Excess energy over the best structure of this formula in the dataset = 34 meV per atom

Lattice parameters (Å, degrees): 8.785 8.785 8.785 17.75 17.75 17.75
Each line ends with the local moment (μB).
Sites, in units of the cell vectors:
Au  0.750  0.750  0.750  -0.01
Ru  0.250  0.250  0.250  0.19
Co  0.505  0.505  0.505  1.59
Co  0.995  0.995  0.995  1.59


A plane-wave DFT calculation with GGA-PBE was carried out for a relaxed structure of Co2Ru2Au.

Computed properties:
Energy of formation from the pure elements = 333 meV per atom
Space group = P4/mbm
Total moment = 6.4 μB/cell
E_tot = -6.8752 eV per atom
Excess energy over the best structure of this formula in the dataset = 0 meV per atom

Lattice parameters (Å, degrees): 7.154 7.154 2.682 90.00 90.00 90.00
Each line ends with the local moment (μB).
Sites, in units of the cell vectors:
Ru  0.170  0.670  0.500  0.54
Co  0.879  0.621  0.000  1.04
Co  0.621  0.121  0.000  1.04
Au  0.500  0.500  0.000  0.03
Au  0.000  0.000  0.000  0.03
Ru  0.830  0.330  0.500  0.54
Ru  0.670  0.830  0.500  0.54
Ru  0.330  0.170  0.500  0.54
Co  0.379  0.879  0.000  1.04
Co  0.121  0.379  0.000  1.04


A plane-wave DFT calculation with GGA-PBE was carried out for a relaxed structure of CoRuAu.

Computed properties:
Energy of formation from the pure elements = 298 meV per atom
Space group = P3m1
Total moment = 1.6 μB/cell
E_tot = -6.2548 eV per atom
Excess energy over the best structure of this formula in the dataset = 23 meV per atom

Lattice parameters (Å, degrees): 2.743 2.743 6.676 90.00 90.00 120.00
Each line ends with the local moment (μB).
Sites, in units of the cell vectors:
Ru  0.333  0.667  0.640  0.11
Au  0.000  0.000  0.010  0.03
Co  0.667  0.333  0.351  1.53


A plane-wave DFT calculation with GGA-PBE was carried out for a relaxed structure of Co2RuAu.

Computed properties:
Energy of formation from the pure elements = 271 meV per atom
Space group = P2/m
Total moment = 3.1 μB/cell
E_tot = -6.4203 eV per atom
Excess energy over the best structure of this formula in the dataset = 19 meV per atom

Lattice parameters (Å, degrees): 3.651 2.683 6.026 65.90 90.00 90.00
Each line ends with the local moment (μB).
Sites, in units of the cell vectors:
Co  0.000  0.534  0.469  1.40
Co  0.000  0.966  0.031  1.40
Au  0.500  0.750  0.750  0.06
Ru  0.500  0.250  0.250  0.28


A plane-wave DFT calculation with GGA-PBE was carried out for a relaxed structure of Co2RuAu.

Computed properties:
Energy of formation from the pure elements = 326 meV per atom
Space group = I-4m2
Total moment = 5.0 μB/cell
E_tot = -6.3654 eV per atom
Excess energy over the best structure of this formula in the dataset = 74 meV per atom

Lattice parameters (Å, degrees): 4.699 4.699 4.699 132.75 132.75 69.04
Each line ends with the local moment (μB).
Sites, in units of the cell vectors:
Co  0.250  0.750  0.500  1.80
Ru  0.500  0.500  0.000  1.30
Au  0.750  0.250  0.500  0.13
Co  0.000  0.000  0.000  1.84


A plane-wave DFT calculation with GGA-PBE was carried out for a relaxed structure of Co2RuAu2.

Computed properties:
Energy of formation from the pure elements = 595 meV per atom
Space group = P4/mbm
Total moment = 10.9 μB/cell
E_tot = -5.4132 eV per atom
Excess energy over the best structure of this formula in the dataset = 0 meV per atom

Lattice parameters (Å, degrees): 7.366 7.366 2.817 90.00 90.00 90.00
Each line ends with the local moment (μB).
Sites, in units of the cell vectors:
Co  0.164  0.664  0.500  1.84
Co  0.836  0.336  0.500  1.85
Ru  0.500  0.500  0.000  1.67
Au  0.864  0.636  0.000  0.09
Co  0.336  0.164  0.500  1.82
Au  0.636  0.136  0.000  0.09
Co  0.664  0.836  0.500  1.82
Au  0.364  0.864  0.000  0.09
Au  0.136  0.364  0.000  0.09
Ru  0.000  0.000  0.000  1.67


A plane-wave DFT calculation with GGA-PBE was carried out for a relaxed structure of CoSiRuAu2.

Computed properties:
Space group = P4/mmm
Total moment = 0.5 μB/cell
E_tot = -4.5198 eV per atom

Lattice parameters (Å, degrees): 4.783 4.244 4.783 90.00 90.00 90.00
Each line ends with the local moment (μB).
Sites, in units of the cell vectors:
Ru  0.000  0.500  0.000  0.21
Au  0.500  0.000  0.000  0.02
Si  0.500  0.500  0.500  0.01
Co  0.000  0.000  0.000  0.21
Au  0.000  0.000  0.500  0.01


A plane-wave DFT calculation with GGA-PBE was carried out for a relaxed structure of CoSn2RuAu.

Computed properties:
Energy of formation from the pure elements = 636 meV per atom
Space group = P4/mmm
Total moment = 0.0 μB/cell
E_tot = -4.8974 eV per atom

Lattice parameters (Å, degrees): 4.825 4.463 4.825 90.00 90.00 90.00
Sites, in units of the cell vectors:
Co  0.000  0.000  0.000
Au  0.500  0.500  0.500
Sn  0.500  0.000  0.000
Sn  0.000  0.000  0.500
Ru  0.000  0.500  0.000


A plane-wave DFT calculation with GGA-PBE was carried out for a relaxed structure of TaCoRuAu.

Computed properties:
Energy of formation from the pure elements = 36 meV per atom
Space group = F-43m
Total moment = 0.9 μB/cell
E_tot = -7.8419 eV per atom

Lattice parameters (Å, degrees): 4.403 4.403 4.403 60.00 60.00 60.00
Each line ends with the local moment (μB).
Sites, in units of the cell vectors:
Co  0.750  0.750  0.750  0.78
Ta  0.500  0.500  0.500  -0.15
Ru  0.250  0.250  0.250  0.27
Au  0.000  0.000  0.000  0.03


A plane-wave DFT calculation with GGA-PBE was carried out for a relaxed structure of CoTcRu2Au.

Computed properties:
Energy of formation from the pure elements = 2556 meV per atom
Space group = P4/mmm
Total moment = 8.9 μB/cell
E_tot = -5.3043 eV per atom

Lattice parameters (Å, degrees): 4.852 4.897 4.852 90.00 90.00 90.00
Each line ends with the local moment (μB).
Sites, in units of the cell vectors:
Ru  0.500  0.000  0.000  1.50
Tc  0.000  0.500  0.000  2.53
Ru  0.000  0.000  0.500  2.13
Au  0.000  0.000  0.000  0.28
Co  0.500  0.500  0.500  2.22


A plane-wave DFT calculation with GGA-PBE was carried out for a relaxed structure of Th4Co2RuAu.

Computed properties:
Energy of formation from the pure elements = -216 meV per atom
Space group = I222
Total moment = 0.0 μB/cell
E_tot = -7.2713 eV per atom

Lattice parameters (Å, degrees): 7.221 6.327 6.327 67.58 55.21 55.21
Sites, in units of the cell vectors:
Th  0.083  0.948  0.455
Th  0.515  0.455  0.948
Co  0.847  0.653  0.653
Th  0.917  0.545  0.052
Ru  0.500  0.500  0.500
Th  0.485  0.052  0.545
Au  0.000  0.000  0.000
Co  0.153  0.347  0.347